[1]
Compound: Li2ErMgIn2
Source: the Alexandria database
Functional: PBE
Structure: optimized geometry

The crystal system is trigonal. The formation energy comes out at -293 meV per atom.

Cell: 4.8258 4.8258 6.5368 Å, 90.00 90.00 120.00°
Space group P-3m1 (No. 164)
Asymmetric unit:
Li1 0.3333 0.6667 0.2959 (multiplicity 2)
Er1 0.0000 0.0000 0.0000 (multiplicity 1)
Mg1 0.0000 0.0000 0.5000 (multiplicity 1)
In1 0.3333 0.6667 0.7682 (multiplicity 2)

=====

[2]
Compound: LiErMg2In4
Source: the Alexandria database
Functional: PBE
Structure: optimized geometry

The crystal system is trigonal. The formation energy comes out at -244 meV per atom.

Cell: 5.0376 5.0376 25.3776 Å, 90.00 90.00 120.00°
Space group R-3m (No. 166, hexagonal axes)
Asymmetric unit:
Li1 0.0000 0.0000 0.0000 (multiplicity 3)
Er1 0.0000 0.0000 0.5000 (multiplicity 3)
Mg1 0.0000 0.0000 0.2486 (multiplicity 6)
In1 0.0000 0.0000 0.1174 (multiplicity 6)
In2 0.0000 0.0000 0.3707 (multiplicity 6)

=====

[3]
Compound: LiErMnIn
Source: the Alexandria database
Functional: PBE
Structure: optimized geometry

The crystal system is cubic. The formation energy comes out at -78 meV per atom.

Cell: 6.8115 6.8115 6.8115 Å, 90.00 90.00 90.00°
Space group F-43m (No. 216)
Asymmetric unit:
Li1 0.0000 0.0000 0.0000 (multiplicity 4)
Er1 0.2500 0.2500 0.2500 (multiplicity 4)
Mn1 0.0000 0.0000 0.5000 (multiplicity 4)
In1 0.2500 0.2500 0.7500 (multiplicity 4)

=====

[4]
Compound: Li2Nd2ErIn2
Source: the Alexandria database
Functional: PBE
Structure: optimized geometry

The crystal system is trigonal. The formation energy comes out at -236 meV per atom.

Cell: 4.8772 4.8772 26.9051 Å, 90.00 90.00 120.00°
Space group R-3m (No. 166, hexagonal axes)
Asymmetric unit:
Li1 0.0000 0.0000 0.1113 (multiplicity 6)
Nd1 0.0000 0.0000 0.3731 (multiplicity 6)
Er1 0.0000 0.0000 0.5000 (multiplicity 3)
In1 0.0000 0.0000 0.2334 (multiplicity 6)

=====

[5]
Compound: LiNdErIn
Source: the Alexandria database
Functional: PBE
Structure: optimized geometry

The crystal system is cubic. The formation energy comes out at -258 meV per atom.

Cell: 7.5505 7.5505 7.5505 Å, 90.00 90.00 90.00°
Space group F-43m (No. 216)
Asymmetric unit:
Li1 0.0000 0.0000 0.0000 (multiplicity 4)
Nd1 0.2500 0.2500 0.2500 (multiplicity 4)
Er1 0.2500 0.2500 0.7500 (multiplicity 4)
In1 0.0000 0.0000 0.5000 (multiplicity 4)

=====

[6]
Compound: LiNd2ErIn4
Source: the Alexandria database
Functional: PBE
Structure: optimized geometry

The crystal system is trigonal. The formation energy comes out at -423 meV per atom.

Cell: 5.2799 5.2799 26.5115 Å, 90.00 90.00 120.00°
Space group R-3m (No. 166, hexagonal axes)
Asymmetric unit:
Li1 0.0000 0.0000 0.0000 (multiplicity 3)
Nd1 0.0000 0.0000 0.2553 (multiplicity 6)
Er1 0.0000 0.0000 0.5000 (multiplicity 3)
In1 0.0000 0.0000 0.1251 (multiplicity 6)
In2 0.0000 0.0000 0.3752 (multiplicity 6)

=====

[7]
Compound: LiEr2InO5
Source: the Alexandria database
Functional: PBE
Structure: optimized geometry

The crystal system is orthorhombic. The uncorrected formation energy comes out at -2.63 eV/atom.

Cell: 3.2692 13.1553 9.6909 Å, 90.00 90.00 90.00°
Space group Cmc2_1 (No. 36)
Asymmetric unit:
Li1 0.0000 0.0136 0.0000 (multiplicity 4)
Er1 0.0000 0.3774 0.8088 (multiplicity 4)
Er2 0.0000 0.3909 0.2012 (multiplicity 4)
In1 0.0000 0.3018 0.5163 (multiplicity 4)
O1 0.0000 0.0009 0.8013 (multiplicity 4)
O2 0.0000 0.1370 0.5237 (multiplicity 4)
O3 0.0000 0.1990 0.8642 (multiplicity 4)
O4 0.0000 0.2111 0.1797 (multiplicity 4)
O5 0.0000 0.4553 0.5848 (multiplicity 4)

=====

[8]
Compound: LiErInOs
Source: the Alexandria database
Functional: PBE
Structure: optimized geometry

The crystal system is cubic. The formation energy comes out at -148 meV per atom.

Cell: 6.7017 6.7017 6.7017 Å, 90.00 90.00 90.00°
Space group F-43m (No. 216)
Asymmetric unit:
Li1 0.0000 0.0000 0.0000 (multiplicity 4)
Er1 0.2500 0.2500 0.7500 (multiplicity 4)
In1 0.2500 0.2500 0.2500 (multiplicity 4)
Os1 0.0000 0.0000 0.5000 (multiplicity 4)

=====

[9]
Compound: LiErInPb
Source: the Alexandria database
Functional: PBE
Structure: optimized geometry

The crystal system is orthorhombic. The formation energy comes out at -384 meV per atom.

Cell: 4.4172 4.6296 4.7001 Å, 90.00 90.00 90.00°
Space group Pmmm (No. 47)
Asymmetric unit:
Li1 0.0000 0.0000 0.0000 (multiplicity 1)
Er1 0.0000 0.5000 0.5000 (multiplicity 1)
In1 0.5000 0.5000 0.0000 (multiplicity 1)
Pb1 0.5000 0.0000 0.5000 (multiplicity 1)

=====

[10]
Compound: LiErInPb
Source: the Alexandria database
Functional: PBE
Structure: optimized geometry

The crystal system is cubic. The formation energy comes out at -313 meV per atom.

Cell: 7.3577 7.3577 7.3577 Å, 90.00 90.00 90.00°
Space group F-43m (No. 216)
Asymmetric unit:
Li1 0.0000 0.0000 0.0000 (multiplicity 4)
Er1 0.0000 0.0000 0.5000 (multiplicity 4)
In1 0.2500 0.2500 0.7500 (multiplicity 4)
Pb1 0.2500 0.2500 0.2500 (multiplicity 4)

=====

[11]
Compound: LiErInPd
Source: the Alexandria database
Functional: PBE
Structure: optimized geometry

The crystal system is cubic. The formation energy comes out at -619 meV per atom.

Cell: 6.7612 6.7612 6.7612 Å, 90.00 90.00 90.00°
Space group F-43m (No. 216)
Asymmetric unit:
Li1 0.0000 0.0000 0.0000 (multiplicity 4)
Er1 0.2500 0.2500 0.2500 (multiplicity 4)
In1 0.2500 0.2500 0.7500 (multiplicity 4)
Pd1 0.0000 0.0000 0.5000 (multiplicity 4)

=====

[12]
Compound: Li2Pm2ErIn5
Source: the Alexandria database
Functional: PBE
Structure: optimized geometry

The crystal system is tetragonal. The formation energy comes out at -413 meV per atom.

Cell: 10.3037 10.3037 4.5157 Å, 90.00 90.00 90.00°
Space group P4/mbm (No. 127)
Asymmetric unit:
Li1 0.1164 0.3836 0.0000 (multiplicity 4)
Pm1 0.1780 0.6780 0.0000 (multiplicity 4)
Er1 0.0000 0.0000 0.0000 (multiplicity 2)
In1 0.0000 0.5000 0.5000 (multiplicity 2)
In2 0.0685 0.2105 0.5000 (multiplicity 8)

=====

Record-wise total energy values, in eV per atom: -2.87 -2.82 -4.67 -3.58 -3.75 -3.79 -6.92 -5.26 -3.62 -3.54 -4.22 -3.57